Material: SmGdInGa
Method: DFT, PBE
State: optimized geometry

```
data_SmGdInGa
_chemical_formula_sum 'Sm4 Gd4 In4 Ga4'
_cell_length_a 7.456
_cell_length_b 7.456
_cell_length_c 7.456
_cell_angle_alpha 90.00
_cell_angle_beta 90.00
_cell_angle_gamma 90.00
_symmetry_space_group_name_H-M 'F -4 3 m'
_symmetry_Int_Tables_number 216
_symmetry_space_group_name_Hall 'F -4 2 3'
loop_
_atom_site_label
_atom_site_type_symbol
_atom_site_fract_x
_atom_site_fract_y
_atom_site_fract_z
Sm1 Sm 0.000 0.000 0.000
Gd1 Gd 0.000 0.000 0.500
In1 In 0.250 0.250 0.750
Ga1 Ga 0.250 0.250 0.250
```

Properties
total energy: -6.648 eV/atom
formation energy from the elements: -507 meV per atom